Density functional theory data (PBE) for crystalline Nd3Y2Er7 at its relaxed geometry.

Output
The magnetic moment is 0.00 μB/f.u. The calculation puts the calculated total energy at -58.1 eV/cell. The calculation puts the energy of formation from the pure elements at 0.0904 eV/atom. The space-group type is No. 10. The value obtained for the density of states at the Fermi level is 14.98 states/eV/cell.

Unit cell a=5.813 b=3.558 c=18.809 alpha=90.00 beta=93.01 gamma=90.00
Fractional coordinates of all 12 atoms:
Nd  0.000  0.000  0.000
Nd  0.277  0.500  0.632
Nd  0.723  0.500  0.368
Y  0.211  0.000  0.292
Y  0.789  0.000  0.708
Er  0.192  0.500  0.143
Er  0.243  0.000  0.462
Er  0.306  0.000  0.825
Er  0.500  0.500  0.000
Er  0.694  0.000  0.175
Er  0.757  0.000  0.538
Er  0.808  0.500  0.857